No. 1
CrFeNF2 | PBE+U | relaxed

abc: 3.8496 3.8496 4.0799
angles: 90.00 90.00 90.00
With the nearest neighbours (Å) after each atom.
Positions (direct):
Cr 0.0000 0.0000 0.0000  4 F 1.92, 2 N 2.04
Fe 0.5000 0.5000 0.5000  4 N 2.72, 8 F 2.80
N 0.0000 0.0000 0.5000  2 Cr 2.04
F 0.0000 0.5000 0.0000  2 Cr 1.92
F 0.5000 0.0000 0.0000  2 Cr 1.92

Values from the calculation:
E above lowest polymorph: 106.8 meV/atom
Spin magnetization: 6.252 μB per cell

---

No. 2
Na2CrFeF | PBE+U | relaxed

abc: 4.4753 4.4753 5.1808
angles: 90.00 90.00 90.00
With the nearest neighbours (Å) after each atom.
Positions (direct):
Na 0.0000 0.5000 0.0000  2 F 2.24
Na 0.5000 0.0000 0.0000  2 F 2.24
Cr 0.0000 0.0000 0.5000  4 Fe 3.16, 8 Na 3.42
Fe 0.5000 0.5000 0.5000  2 F 2.59
F 0.5000 0.5000 0.0000  4 Na 2.24

Values from the calculation:
Total energy: -3.813 eV per atom
Spin magnetization: 8.922 μB per cell

---

No. 3
NaCr2FeF6 | PBE+U | relaxed

abc: 5.6135 5.6823 5.9548
angles: 64.25 63.80 61.15
With the nearest neighbours (Å) after each atom.
Positions (direct):
Na 0.0000 0.0000 0.0000  5 F 2.27-2.52
Cr 0.2057 0.2135 0.3866  4 F 2.03-2.07
Cr 0.7201 0.7085 0.8397  2 F 2.10-2.20
Fe 0.5180 0.5249 0.4434  6 F 2.06-2.20
F 0.1683 0.8337 0.6235  1 Cr 2.05, 1 Fe 2.13
F 0.2768 0.5795 0.2052  1 Cr 2.03, 1 Fe 2.20
F 0.4036 0.1769 0.6290  1 Fe 2.06, 1 Cr 2.07
F 0.6116 0.8743 0.1587  1 Fe 2.09, 1 Cr 2.20, 1 Na 2.29
F 0.7671 0.4225 0.6756  1 Cr 2.10, 1 Fe 2.10
F 0.9245 0.2906 0.2111  1 Cr 2.04, 1 Fe 2.19, 1 Na 2.27

Values from the calculation:
Total energy: -5.604 eV per atom
Spin magnetization: 13.000 μB per cell

---

No. 4
Na2CrFeF6 | PBE+U | relaxed

abc: 5.5938 5.7326 5.7472
angles: 119.29 117.80 90.57
With the nearest neighbours (Å) after each atom.
Positions (direct):
Na 0.2301 0.1698 0.4497  4 F 2.25-2.51
Na 0.7699 0.8302 0.5503  4 F 2.25-2.51
Cr 0.5000 0.0000 0.0000  4 F 2.04
Fe 0.0000 0.5000 0.0000  6 F 2.01-2.15
F 0.1172 0.7431 0.4551  1 Fe 2.01
F 0.2441 0.2334 0.0908  1 Cr 2.04, 1 Fe 2.15
F 0.3651 0.7769 0.1281  1 Cr 2.04, 1 Fe 2.15
F 0.6349 0.2231 0.8719  1 Cr 2.04, 1 Fe 2.15
F 0.7559 0.7666 0.9092  1 Cr 2.04, 1 Fe 2.15
F 0.8828 0.2569 0.5449  1 Fe 2.01

Values from the calculation:
Total energy: -5.308 eV per atom
Spin magnetization: 8.000 μB per cell

---

spin magnetization of number 2 (Na2CrFeF)? 8.922 μB per cell

---

spin magnetization of number 4 (Na2CrFeF6)? 8.000 μB per cell